No. 1
Material: AlOsPb2
Method: DFT, PBE-GGA
State: optimized geometry

Output
- magnetization (μB per cell) = 0.00
- space-group type = No. 6
- energy of formation (meV per atom) = 147

The structure in CIF format:
```
data_AlOsPb2
_cell_length_a 3.272
_cell_length_b 3.254
_cell_length_c 9.098
_cell_angle_alpha 69.08
_cell_angle_beta 90.00
_cell_angle_gamma 90.00
_symmetry_space_group_name_H-M 'P 1'
_symmetry_Int_Tables_number 1
loop_
_symmetry_equiv_pos_as_xyz
'x,y,z'
loop_
_atom_site_label
_atom_site_type_symbol
_atom_site_fract_x
_atom_site_fract_y
_atom_site_fract_z
Pb1 Pb 0.500 0.190 0.307
Al1 Al 0.000 0.431 0.570
Os1 Os 0.500 0.808 0.693
Pb2 Pb 0.000 0.071 0.930
```

=====

No. 2
Material: ScZnN
Method: DFT, PBE-GGA
State: optimized geometry

Output
- polymorph energy (0 for the lowest one) (meV per atom) = 0.0
- energy relative to the elements, uncorrected (eV per atom) = -1.141
- magnetization (μB per cell) = 0.00
- space-group type = No. 129

The structure in CIF format:
```
data_ScZnN
_cell_length_a 3.226
_cell_length_b 3.226
_cell_length_c 7.364
_cell_angle_alpha 90.00
_cell_angle_beta 90.00
_cell_angle_gamma 90.00
_symmetry_space_group_name_H-M 'P 1'
_symmetry_Int_Tables_number 1
loop_
_symmetry_equiv_pos_as_xyz
'x,y,z'
loop_
_atom_site_label
_atom_site_type_symbol
_atom_site_fract_x
_atom_site_fract_y
_atom_site_fract_z
Zn1 Zn 0.000 0.500 0.078
N1 N 0.500 0.000 0.646
N2 N 0.000 0.500 0.354
Sc1 Sc 0.500 0.000 0.354
Zn2 Zn 0.500 0.000 0.922
Sc2 Sc 0.000 0.500 0.646
```

=====

No. 3
Material: CdH2Ir2
Method: DFT, PBE-GGA
State: optimized geometry

Output
- polymorph energy (0 for the lowest one) (meV per atom) = 284.7
- magnetization (μB per cell) = 0.00
- space-group type = No. 127

The structure in CIF format:
```
data_CdH2Ir2
_cell_length_a 6.419
_cell_length_b 6.419
_cell_length_c 2.819
_cell_angle_alpha 90.00
_cell_angle_beta 90.00
_cell_angle_gamma 90.00
_symmetry_space_group_name_H-M 'P 1'
_symmetry_Int_Tables_number 1
loop_
_symmetry_equiv_pos_as_xyz
'x,y,z'
loop_
_atom_site_label
_atom_site_type_symbol
_atom_site_fract_x
_atom_site_fract_y
_atom_site_fract_z
Cd1 Cd 0.000 0.000 0.000
H1 H 0.585 0.085 0.000
Ir1 Ir 0.360 0.140 0.500
Ir2 Ir 0.860 0.360 0.500
Cd2 Cd 0.500 0.500 0.000
H2 H 0.915 0.585 0.000
H3 H 0.085 0.415 0.000
Ir3 Ir 0.140 0.640 0.500
Ir4 Ir 0.640 0.860 0.500
H4 H 0.415 0.915 0.000
```

=====

No. 4
Material: IrNClF2
Method: DFT, PBE-GGA
State: optimized geometry

Output
- polymorph energy (0 for the lowest one) (meV per atom) = 0.0
- energy relative to the elements, uncorrected (eV per atom) = 0.010
- magnetization (μB per cell) = 0.00
- space-group type = No. 123

The structure in CIF format:
```
data_IrNClF2
_cell_length_a 4.177
_cell_length_b 4.177
_cell_length_c 3.788
_cell_angle_alpha 90.00
_cell_angle_beta 90.00
_cell_angle_gamma 90.00
_symmetry_space_group_name_H-M 'P 1'
_symmetry_Int_Tables_number 1
loop_
_symmetry_equiv_pos_as_xyz
'x,y,z'
loop_
_atom_site_label
_atom_site_type_symbol
_atom_site_fract_x
_atom_site_fract_y
_atom_site_fract_z
N1 N 0.000 0.000 0.500
F1 F 0.500 0.000 0.000
Ir1 Ir 0.000 0.000 0.000
Cl1 Cl 0.500 0.500 0.500
F2 F 0.000 0.500 0.000
```

=====

No. 5
Material: SrGeS2N
Method: DFT, PBE-GGA
State: optimized geometry

Output
- polymorph energy (0 for the lowest one) (meV per atom) = 0.0
- energy relative to the elements, uncorrected (eV per atom) = -0.342
- magnetization (μB per cell) = 1.16
- space-group type = No. 123

The structure in CIF format:
```
data_SrGeS2N
_cell_length_a 4.970
_cell_length_b 4.970
_cell_length_c 3.840
_cell_angle_alpha 90.00
_cell_angle_beta 90.00
_cell_angle_gamma 90.00
_symmetry_space_group_name_H-M 'P 1'
_symmetry_Int_Tables_number 1
loop_
_symmetry_equiv_pos_as_xyz
'x,y,z'
loop_
_atom_site_label
_atom_site_type_symbol
_atom_site_fract_x
_atom_site_fract_y
_atom_site_fract_z
Ge1 Ge 0.000 0.000 0.000
Sr1 Sr 0.500 0.500 0.500
S1 S 0.000 0.500 0.000
N1 N 0.000 0.000 0.500
S2 S 0.500 0.000 0.000
```

=====

No. 6
Material: NaCd2Bi2Pb2
Method: DFT, PBE-GGA
State: optimized geometry

Output
- magnetization (μB per cell) = 0.00
- space-group type = No. 166
- energy of formation (meV per atom) = 5

The structure in CIF format:
```
data_NaCd2Bi2Pb2
_cell_length_a 5.390
_cell_length_b 5.390
_cell_length_c 8.665
_cell_angle_alpha 71.88
_cell_angle_beta 71.88
_cell_angle_gamma 60.00
_symmetry_space_group_name_H-M 'P 1'
_symmetry_Int_Tables_number 1
loop_
_symmetry_equiv_pos_as_xyz
'x,y,z'
loop_
_atom_site_label
_atom_site_type_symbol
_atom_site_fract_x
_atom_site_fract_y
_atom_site_fract_z
Cd1 Cd 0.575 0.575 0.275
Na1 Na 0.000 0.000 0.000
Bi1 Bi 0.280 0.280 0.159
Pb1 Pb 0.140 0.140 0.580
Bi2 Bi 0.720 0.720 0.841
Pb2 Pb 0.860 0.860 0.420
Cd2 Cd 0.425 0.425 0.725
```

=====

No. 7
Material: ScAlRh2
Method: DFT, PBE-GGA
State: optimized geometry

Output
- magnetization (μB per cell) = 0.00
- space-group type = No. 10
- energy of formation (meV per atom) = -706

The structure in CIF format:
```
data_ScAlRh2
_cell_length_a 3.018
_cell_length_b 5.142
_cell_length_c 5.289
_cell_angle_alpha 50.08
_cell_angle_beta 90.00
_cell_angle_gamma 90.00
_symmetry_space_group_name_H-M 'P 1'
_symmetry_Int_Tables_number 1
loop_
_symmetry_equiv_pos_as_xyz
'x,y,z'
loop_
_atom_site_label
_atom_site_type_symbol
_atom_site_fract_x
_atom_site_fract_y
_atom_site_fract_z
Rh1 Rh 0.000 0.000 0.000
Rh2 Rh 0.500 0.500 0.000
Al1 Al 0.000 0.000 0.500
Sc1 Sc 0.500 0.500 0.500
```

=====

No. 8
Material: NaN3F12
Method: DFT, PBE-GGA
State: optimized geometry

Output
- energy relative to the elements, uncorrected (eV per atom) = -0.572
- magnetization (μB per cell) = 4.00
- space-group type = No. 161

The structure in CIF format:
```
data_NaN3F12
_cell_length_a 8.278
_cell_length_b 8.278
_cell_length_c 10.513
_cell_angle_alpha 66.81
_cell_angle_beta 66.81
_cell_angle_gamma 60.00
_symmetry_space_group_name_H-M 'P 1'
_symmetry_Int_Tables_number 1
loop_
_symmetry_equiv_pos_as_xyz
'x,y,z'
loop_
_atom_site_label
_atom_site_type_symbol
_atom_site_fract_x
_atom_site_fract_y
_atom_site_fract_z
N1 N 0.299 0.001 0.009
F1 F 0.271 0.366 0.623
F2 F 0.239 0.866 0.123
F3 F 0.366 0.739 0.623
F4 F 0.159 0.556 0.067
F5 F 0.396 0.844 0.323
Na1 Na 0.087 0.087 0.740
N2 N 0.691 0.299 0.009
F6 F 0.494 0.927 0.002
F7 F 0.056 0.659 0.567
F8 F 0.556 0.219 0.067
F9 F 0.219 0.159 0.067
F10 F 0.844 0.437 0.323
F11 F 0.771 0.239 0.123
F12 F 0.344 0.896 0.823
F13 F 0.437 0.396 0.323
N3 N 0.501 0.799 0.509
F14 F 0.739 0.271 0.623
N4 N 0.001 0.691 0.009
Na2 Na 0.587 0.587 0.240
N5 N 0.799 0.191 0.509
F15 F 0.927 0.576 0.002
F16 F 0.866 0.771 0.123
F17 F 0.659 0.719 0.567
F18 F 0.076 0.427 0.502
F19 F 0.937 0.344 0.823
F20 F 0.896 0.937 0.823
F21 F 0.994 0.076 0.502
F22 F 0.576 0.494 0.002
N6 N 0.191 0.501 0.509
F23 F 0.719 0.056 0.567
F24 F 0.427 0.994 0.502
```

=====

No. 9
Material: Tb2Ga2Rh
Method: DFT, PBE-GGA
State: optimized geometry

Output
- magnetization (μB per cell) = 0.00
- space-group type = No. 12
- energy of formation (meV per atom) = -763

The structure in CIF format:
```
data_Tb2Ga2Rh
_cell_length_a 4.217
_cell_length_b 5.859
_cell_length_c 9.594
_cell_angle_alpha 89.39
_cell_angle_beta 77.30
_cell_angle_gamma 68.91
_symmetry_space_group_name_H-M 'P 1'
_symmetry_Int_Tables_number 1
loop_
_symmetry_equiv_pos_as_xyz
'x,y,z'
loop_
_atom_site_label
_atom_site_type_symbol
_atom_site_fract_x
_atom_site_fract_y
_atom_site_fract_z
Tb1 Tb 0.069 0.742 0.119
Tb2 Tb 0.325 0.680 0.670
Tb3 Tb 0.675 0.320 0.330
Ga1 Ga 0.635 0.844 0.886
Ga2 Ga 0.088 0.267 0.557
Ga3 Ga 0.912 0.733 0.443
Rh1 Rh 0.369 0.910 0.352
Rh2 Rh 0.631 0.090 0.648
Tb4 Tb 0.931 0.258 0.881
Ga4 Ga 0.365 0.156 0.114
```

=====

No. 10
Material: LaLuPd2
Method: DFT, PBE-GGA
State: optimized geometry

Output
- polymorph energy (0 for the lowest one) (meV per atom) = 35.7
- magnetization (μB per cell) = 0.00
- space-group type = No. 225
- energy of formation (meV per atom) = -815

The structure in CIF format:
```
data_LaLuPd2
_cell_length_a 5.051
_cell_length_b 5.051
_cell_length_c 5.051
_cell_angle_alpha 60.00
_cell_angle_beta 60.00
_cell_angle_gamma 60.00
_symmetry_space_group_name_H-M 'P 1'
_symmetry_Int_Tables_number 1
loop_
_symmetry_equiv_pos_as_xyz
'x,y,z'
loop_
_atom_site_label
_atom_site_type_symbol
_atom_site_fract_x
_atom_site_fract_y
_atom_site_fract_z
La1 La 0.500 0.500 0.500
Pd1 Pd 0.750 0.750 0.750
Pd2 Pd 0.250 0.250 0.250
Lu1 Lu 0.000 0.000 0.000
```

=====

No. 11
Material: CdMoPb3
Method: DFT, PBE-GGA
State: optimized geometry

Output
- polymorph energy (0 for the lowest one) (meV per atom) = 0.0
- magnetization (μB per cell) = 0.00
- space-group type = No. 221
- energy of formation (meV per atom) = 422

The structure in CIF format:
```
data_CdMoPb3
_cell_length_a 5.431
_cell_length_b 5.431
_cell_length_c 5.431
_cell_angle_alpha 90.00
_cell_angle_beta 90.00
_cell_angle_gamma 90.00
_symmetry_space_group_name_H-M 'P 1'
_symmetry_Int_Tables_number 1
loop_
_symmetry_equiv_pos_as_xyz
'x,y,z'
loop_
_atom_site_label
_atom_site_type_symbol
_atom_site_fract_x
_atom_site_fract_y
_atom_site_fract_z
Pb1 Pb 0.000 0.500 0.000
Pb2 Pb 0.000 0.000 0.500
Pb3 Pb 0.500 0.000 0.000
Cd1 Cd 0.500 0.500 0.500
Mo1 Mo 0.000 0.000 0.000
```

=====

No. 12
Material: Na5ZrO4
Method: DFT, PBE-GGA
State: optimized geometry

Output
- energy relative to the elements, uncorrected (eV per atom) = -1.808
- magnetization (μB per cell) = 0.00
- space-group type = No. 12

The structure in CIF format:
```
data_Na5ZrO4
_cell_length_a 3.354
_cell_length_b 6.747
_cell_length_c 7.409
_cell_angle_alpha 99.69
_cell_angle_beta 103.08
_cell_angle_gamma 90.00
_symmetry_space_group_name_H-M 'P 1'
_symmetry_Int_Tables_number 1
loop_
_symmetry_equiv_pos_as_xyz
'x,y,z'
loop_
_atom_site_label
_atom_site_type_symbol
_atom_site_fract_x
_atom_site_fract_y
_atom_site_fract_z
Zr1 Zr 0.500 0.000 0.000
O1 O 0.005 0.785 0.011
O2 O 0.995 0.215 0.989
Na1 Na 0.840 0.700 0.680
O3 O 0.648 0.072 0.295
Na2 Na 0.823 0.137 0.646
Na3 Na 0.500 0.500 0.000
Na4 Na 0.160 0.300 0.320
Na5 Na 0.177 0.863 0.354
O4 O 0.352 0.928 0.705
```

=====

Copy entry 3 word for word.
Material: CdH2Ir2
Method: DFT, PBE-GGA
State: optimized geometry

Output
- polymorph energy (0 for the lowest one) (meV per atom) = 284.7
- magnetization (μB per cell) = 0.00
- space-group type = No. 127

The structure in CIF format:
```
data_CdH2Ir2
_cell_length_a 6.419
_cell_length_b 6.419
_cell_length_c 2.819
_cell_angle_alpha 90.00
_cell_angle_beta 90.00
_cell_angle_gamma 90.00
_symmetry_space_group_name_H-M 'P 1'
_symmetry_Int_Tables_number 1
loop_
_symmetry_equiv_pos_as_xyz
'x,y,z'
loop_
_atom_site_label
_atom_site_type_symbol
_atom_site_fract_x
_atom_site_fract_y
_atom_site_fract_z
Cd1 Cd 0.000 0.000 0.000
H1 H 0.585 0.085 0.000
Ir1 Ir 0.360 0.140 0.500
Ir2 Ir 0.860 0.360 0.500
Cd2 Cd 0.500 0.500 0.000
H2 H 0.915 0.585 0.000
H3 H 0.085 0.415 0.000
Ir3 Ir 0.140 0.640 0.500
Ir4 Ir 0.640 0.860 0.500
H4 H 0.415 0.915 0.000
```

=====

- Among the records above, which one has the highest magnetization?
  NaN3F12